Crystalline MgTeCl2 at its relaxed geometry. Source: the Alexandria database, functional PBE.

Cell lengths 7.2796, 7.2796, 6.6913 Å; angles 110.00, 110.00, 25.55 degrees
Positions (direct):
Mg: 0.0000 0.0000 0.0000
Te: 0.3123 0.3123 0.5900
Cl: 0.4378 0.4378 0.1849
Cl: 0.5957 0.5957 0.8950

Properties
ΔE_f (raw): -930.6 meV/atom
Energy above the most stable polymorph in this dataset: 262 meV per atom
SG: Cm
Density: 2.583 g/cm3



Crystalline AgRh2Br at its relaxed geometry. Source: the Alexandria database, functional PBE.

Cell lengths 8.6719, 8.6719, 8.6719 Å; angles 19.96, 19.96, 19.96 degrees
Positions (direct):
Ag: 0.0000 0.0000 0.0000
Rh: 0.2456 0.2456 0.2456
Rh: 0.7544 0.7544 0.7544
Br: 0.5000 0.5000 0.5000

Properties
ΔE_f (raw): 477.6 meV/atom
Energy above the most stable polymorph in this dataset: 173 meV per atom
SG: R-3m
Density: 9.827 g/cm3



Crystalline Be3Hg at its relaxed geometry. Source: the Alexandria database, functional PBE.

Cell lengths 2.8553, 3.8995, 4.8345 Å; angles 90.00, 103.16, 90.00 degrees
Positions (direct):
Be: 0.0000 0.0000 0.0000
Be: 0.3108 0.5000 0.1830
Be: 0.6892 0.5000 0.8170
Hg: 0.5000 0.0000 0.5000

Properties
Formation enthalpy at 0 K: 0.46 eV/atom
Energy above the most stable polymorph in this dataset: 197 meV per atom
SG: P2/m
Density: 7.211 g/cm3